Entry w
## AlCrN2F (PBE with a Hubbard U)

Data for a relaxed AlCrN2F crystal.

Cell lengths 3.8953, 3.8953, 3.7452 Å; angles 90.00, 90.00, 90.00 degrees
With the nearest neighbours (Å) after each atom.
Fractional coordinates of all 5 atoms:
F 0.0000 0.0000 0.5000  2 Cr 1.87
N 0.0000 0.5000 0.0000  2 Cr 1.95
Al 0.5000 0.5000 0.5000  8 N 2.70, 4 F 2.75
N 0.5000 0.0000 0.0000  2 Cr 1.95
Cr 0.0000 0.0000 0.0000  2 F 1.87, 4 N 1.95

magnetization: 1.7 Bohr magnetons per cell
mass density: 3.7 g/cm³
symmetry: P4/mmm (123)

Entry x
## AlCrN2F (PBE with a Hubbard U)

Data for a relaxed AlCrN2F crystal.

Cell lengths 3.8236, 3.8236, 3.6110 Å; angles 90.00, 90.00, 90.00 degrees
With the nearest neighbours (Å) after each atom.
Fractional coordinates of all 5 atoms:
Cr 0.5000 0.5000 0.5000  8 N 2.63, 4 F 2.70
Al 0.0000 0.0000 0.0000  2 F 1.81, 4 N 1.91
N 0.5000 0.0000 0.0000  2 Al 1.91
N 0.0000 0.5000 0.0000  2 Al 1.91
F 0.0000 0.0000 0.5000  2 Al 1.81

magnetization: 2.7 Bohr magnetons per cell
mass density: 4.0 g/cm³
symmetry: P4/mmm (123)

Of the structures shown above, entry w is the least stable.